(1)
Below is Al2CSe after structural relaxation, with properties calculated at the GGA-PBE level.

The crystal system is tetragonal. The value obtained for the total DFT energy (no corrections) is -87.62 eV per cell. As for the magnetic moment: 0.00 μB per atom. The value obtained for the raw formation energy is -1.71 eV per formula unit.

Unit cell a=5.2161 b=5.2161 c=9.8671 alpha=90.00 beta=90.00 gamma=90.00
Last column: nearest neighbours and their distance in Å.
Atoms (fractional coordinates):
Al (0.1595, 0.2500, 0.1250)  2 C 1.98
Al (0.2500, 0.6595, 0.3750)  2 C 1.98
Al (0.2500, 0.8405, 0.8750)  2 C 1.98
Al (0.3405, 0.2500, 0.6250)  2 C 1.98
Al (0.6595, 0.7500, 0.6250)  2 C 1.98
Al (0.7500, 0.1595, 0.8750)  2 C 1.98
Al (0.7500, 0.3405, 0.3750)  2 C 1.98
Al (0.8405, 0.7500, 0.1250)  2 C 1.98
C (0.0000, 0.0000, 0.0000)  4 Al 1.98
C (0.0000, 0.5000, 0.2500)  4 Al 1.98
C (0.5000, 0.0000, 0.7500)  4 Al 1.98
C (0.5000, 0.5000, 0.5000)  4 Al 1.98
Se (0.0000, 0.0000, 0.5000)  4 Al 2.53
Se (0.0000, 0.5000, 0.7500)  4 Al 2.53
Se (0.5000, 0.0000, 0.2500)  4 Al 2.53
Se (0.5000, 0.5000, 0.0000)  4 Al 2.53

---

(2)
Below is Al3CSe after structural relaxation, with properties calculated at the GGA-PBE level.

The crystal system is cubic. The value obtained for the total DFT energy (no corrections) is -22.26 eV per cell. As for the magnetic moment: 0.00 μB per atom. As for the distance to the lowest polymorph of the same formula: 0.0 meV per atom. The value obtained for the raw formation energy is 1.68 eV per formula unit.

Unit cell a=4.2646 b=4.2646 c=4.2646 alpha=90.00 beta=90.00 gamma=90.00
Last column: nearest neighbours and their distance in Å.
Atoms (fractional coordinates):
Al (0.0000, 0.0000, 0.5000)  2 C 2.13
Al (0.0000, 0.5000, 0.0000)  2 C 2.13
Al (0.5000, 0.0000, 0.0000)  2 C 2.13
C (0.0000, 0.0000, 0.0000)  6 Al 2.13
Se (0.5000, 0.5000, 0.5000)  12 Al 3.02

---

(3)
Below is AlCSe3 after structural relaxation, with properties calculated at the GGA-PBE level.

The crystal system is cubic. The value obtained for the total DFT energy (no corrections) is -16.14 eV per cell. As for the magnetic moment: 0.12 μB per atom. As for the distance to the lowest polymorph of the same formula: 536.7 meV per atom. The value obtained for the raw formation energy is 7.28 eV per formula unit.

Unit cell a=4.8507 b=4.8507 c=4.8507 alpha=90.00 beta=90.00 gamma=90.00
Last column: nearest neighbours and their distance in Å.
Atoms (fractional coordinates):
Al (0.0000, 0.0000, 0.0000)  6 Se 2.43
C (0.5000, 0.5000, 0.5000)  12 Se 3.43
Se (0.0000, 0.0000, 0.5000)  2 Al 2.43
Se (0.0000, 0.5000, 0.0000)  2 Al 2.43
Se (0.5000, 0.0000, 0.0000)  2 Al 2.43

---

(4)
Below is AlC2Se after structural relaxation, with properties calculated at the GGA-PBE level.

The crystal system is tetragonal. The value obtained for the total DFT energy (no corrections) is -86.30 eV per cell. As for the magnetic moment: 0.00 μB per atom. As for the distance to the lowest polymorph of the same formula: 0.0 meV per atom. The value obtained for the raw formation energy is 4.10 eV per formula unit.

Unit cell a=4.6921 b=4.6921 c=9.5654 alpha=90.00 beta=90.00 gamma=90.00
Last column: nearest neighbours and their distance in Å.
Atoms (fractional coordinates):
Al (0.0000, 0.0000, 0.0000)  4 C 2.02
Al (0.0000, 0.5000, 0.2500)  4 C 2.02
Al (0.5000, 0.0000, 0.7500)  4 C 2.02
Al (0.5000, 0.5000, 0.5000)  4 C 2.02
C (0.2413, 0.2500, 0.1250)  2 Al 2.02, 2 Se 2.07
C (0.2500, 0.7413, 0.3750)  2 Al 2.02, 2 Se 2.07
C (0.2500, 0.7587, 0.8750)  2 Al 2.02, 2 Se 2.07
C (0.2587, 0.2500, 0.6250)  2 Al 2.02, 2 Se 2.07
C (0.7413, 0.7500, 0.6250)  2 Al 2.02, 2 Se 2.07
C (0.7500, 0.2413, 0.8750)  2 Al 2.02, 2 Se 2.07
C (0.7500, 0.2587, 0.3750)  2 Al 2.02, 2 Se 2.07
C (0.7587, 0.7500, 0.1250)  2 Al 2.02, 2 Se 2.07
Se (0.0000, 0.0000, 0.5000)  4 C 2.07
Se (0.0000, 0.5000, 0.7500)  4 C 2.07
Se (0.5000, 0.0000, 0.2500)  4 C 2.07
Se (0.5000, 0.5000, 0.0000)  4 C 2.07

---

(5)
Below is AlTeCSe2 after structural relaxation, with properties calculated at the GGA-PBE level.

The crystal system is tetragonal. The value obtained for the total DFT energy (no corrections) is -15.73 eV per cell. As for the magnetic moment: 0.14 μB per atom. The value obtained for the raw formation energy is 7.35 eV per formula unit.

Unit cell a=4.7583 b=4.7583 c=5.5189 alpha=90.00 beta=90.00 gamma=90.00
Last column: nearest neighbours and their distance in Å.
Atoms (fractional coordinates):
Al (0.0000, 0.0000, 0.0000)  4 Se 2.38
Te (0.0000, 0.0000, 0.5000)  2 Al 2.76
C (0.5000, 0.5000, 0.5000)  4 Te 3.36, 8 Se 3.64
Se (0.0000, 0.5000, 0.0000)  2 Al 2.38
Se (0.5000, 0.0000, 0.0000)  2 Al 2.38

---

(6)
Below is AlVC2Se after structural relaxation, with properties calculated at the GGA-PBE level.

The crystal system is tetragonal. The value obtained for the total DFT energy (no corrections) is -22.56 eV per cell. As for the magnetic moment: 0.03 μB per atom. The value obtained for the raw formation energy is 12.23 eV per formula unit.

Unit cell a=3.9352 b=3.9352 c=4.8643 alpha=90.00 beta=90.00 gamma=90.00
Last column: nearest neighbours and their distance in Å.
Atoms (fractional coordinates):
Al (0.0000, 0.0000, 0.0000)  2 Se 2.43
V (0.5000, 0.5000, 0.0000)  4 Al 2.78
C (0.0000, 0.5000, 0.5000)  2 Se 1.97
C (0.5000, 0.0000, 0.5000)  2 Se 1.97
Se (0.0000, 0.0000, 0.5000)  4 C 1.97

---

(7)
Below is Al2SiC after structural relaxation, with properties calculated at the GGA-PBE level.

The crystal system is trigonal. The value obtained for the total DFT energy (no corrections) is -64.71 eV per cell. As for the magnetic moment: 0.00 μB per atom. As for the distance to the lowest polymorph of the same formula: 0.0 meV per atom. The value obtained for the raw formation energy is 0.56 eV per formula unit.

Unit cell a=3.1111 b=3.1111 c=20.5405 alpha=90.00 beta=90.00 gamma=120.00
Last column: nearest neighbours and their distance in Å.
Atoms (fractional coordinates):
Al (0.0000, 0.0000, 0.1168)  3 C 2.07
Al (0.0000, 0.0000, 0.8832)  3 C 2.07
Al (0.3333, 0.6667, 0.5499)  3 C 2.07
Al (0.3333, 0.6667, 0.7835)  3 C 2.07
Al (0.6667, 0.3333, 0.2165)  3 C 2.07
Al (0.6667, 0.3333, 0.4501)  3 C 2.07
Si (0.0000, 0.0000, 0.0000)  2 Al 2.40
Si (0.3333, 0.6667, 0.6667)  2 Al 2.40
Si (0.6667, 0.3333, 0.3333)  2 Al 2.40
C (0.0000, 0.0000, 0.5000)  6 Al 2.07
C (0.3333, 0.6667, 0.1667)  6 Al 2.07
C (0.6667, 0.3333, 0.8333)  6 Al 2.07

---

(8)
Below is AlSiC after structural relaxation, with properties calculated at the GGA-PBE level.

The crystal system is trigonal. The value obtained for the total DFT energy (no corrections) is -17.74 eV per cell. As for the magnetic moment: 0.00 μB per atom. As for the distance to the lowest polymorph of the same formula: 61.3 meV per atom. The value obtained for the raw formation energy is 0.65 eV per formula unit.

Unit cell a=2.9938 b=2.9938 c=4.3123 alpha=90.00 beta=90.00 gamma=120.00
Last column: nearest neighbours and their distance in Å.
Atoms (fractional coordinates):
Al (0.0000, 0.0000, 0.0000)  3 C 2.15
Si (0.6667, 0.3333, 0.4768)  3 C 1.99
C (0.3333, 0.6667, 0.7044)  3 Si 1.99, 3 Al 2.15

---

(9)
Below is AlSiC after structural relaxation, with properties calculated at the GGA-PBE level.

The crystal system is monoclinic. The value obtained for the total DFT energy (no corrections) is -70.76 eV per cell. As for the magnetic moment: 0.00 μB per atom. As for the distance to the lowest polymorph of the same formula: 77.5 meV per atom. The value obtained for the raw formation energy is 0.70 eV per formula unit.

Unit cell a=5.2145 b=3.0186 c=9.1306 alpha=90.00 beta=90.62 gamma=90.00
Last column: nearest neighbours and their distance in Å.
Atoms (fractional coordinates):
Al (0.0000, 0.0000, 0.0000)  3 C 2.29-2.33
Al (0.1646, 0.5000, 0.2275)  3 C 2.28-2.33
Al (0.5000, 0.5000, 0.0000)  3 C 2.29-2.33
Al (0.6646, 0.0000, 0.2275)  3 C 2.28-2.33
Si (0.3284, 0.0000, 0.4829)  3 C 1.92
Si (0.3341, 0.0000, 0.7446)  3 C 1.92
Si (0.8284, 0.5000, 0.4829)  3 C 1.92
Si (0.8341, 0.5000, 0.7446)  3 C 1.92
C (0.1698, 0.5000, 0.8327)  3 Si 1.92
C (0.4927, 0.5000, 0.3949)  3 Si 1.92
C (0.6698, 0.0000, 0.8327)  3 Si 1.92
C (0.9927, 0.0000, 0.3949)  3 Si 1.92

---

(10)
Below is AlSiC after structural relaxation, with properties calculated at the GGA-PBE level.

The crystal system is monoclinic. The value obtained for the total DFT energy (no corrections) is -70.91 eV per cell. As for the magnetic moment: 0.00 μB per atom. As for the distance to the lowest polymorph of the same formula: 65.0 meV per atom. The value obtained for the raw formation energy is 0.66 eV per formula unit.

Unit cell a=9.2406 b=3.1421 c=6.6657 alpha=90.00 beta=124.60 gamma=90.00
Last column: nearest neighbours and their distance in Å.
Atoms (fractional coordinates):
Al (0.0000, 0.0000, 0.0000)  1 C 1.97
Al (0.1722, 0.5000, 0.9007)  2 C 2.00-2.08
Al (0.5000, 0.5000, 0.0000)  1 C 1.97
Al (0.6722, 0.0000, 0.9007)  2 C 2.00-2.08
Si (0.3106, 0.0000, 0.5772)  2 C 1.90
Si (0.4660, 0.0000, 0.3851)  3 C 1.85-1.99
Si (0.8106, 0.5000, 0.5772)  2 C 1.90
Si (0.9660, 0.5000, 0.3851)  3 C 1.85-1.99
C (0.2242, 0.5000, 0.6358)  3 Si 1.90-1.99, 1 Al 2.08
C (0.4137, 0.5000, 0.2105)  2 Si 1.85, 2 Al 1.97-2.00
C (0.7242, 0.0000, 0.6358)  3 Si 1.90-1.99, 1 Al 2.08
C (0.9137, 0.0000, 0.2105)  2 Si 1.85, 2 Al 1.97-2.00

---

(11)
Below is AlSiC2 after structural relaxation, with properties calculated at the GGA-PBE level.

The crystal system is cubic. The value obtained for the total DFT energy (no corrections) is -84.54 eV per cell. As for the magnetic moment: 0.00 μB per atom. As for the distance to the lowest polymorph of the same formula: 1418.2 meV per atom. The value obtained for the raw formation energy is 6.48 eV per formula unit.

Unit cell a=5.3457 b=5.3457 c=5.3457 alpha=90.00 beta=90.00 gamma=90.00
Last column: nearest neighbours and their distance in Å.
Atoms (fractional coordinates):
Al (0.0000, 0.0000, 0.0000)  8 C 2.31
Al (0.0000, 0.5000, 0.5000)  8 C 2.31
Al (0.5000, 0.0000, 0.5000)  8 C 2.31
Al (0.5000, 0.5000, 0.0000)  8 C 2.31
Si (0.0000, 0.0000, 0.5000)  8 C 2.31
Si (0.0000, 0.5000, 0.0000)  8 C 2.31
Si (0.5000, 0.0000, 0.0000)  8 C 2.31
Si (0.5000, 0.5000, 0.5000)  8 C 2.31
C (0.2500, 0.2500, 0.2500)  4 Al 2.31, 4 Si 2.31
C (0.2500, 0.2500, 0.7500)  4 Al 2.31, 4 Si 2.31
C (0.2500, 0.7500, 0.2500)  4 Al 2.31, 4 Si 2.31
C (0.2500, 0.7500, 0.7500)  4 Al 2.31, 4 Si 2.31
C (0.7500, 0.2500, 0.2500)  4 Al 2.31, 4 Si 2.31
C (0.7500, 0.2500, 0.7500)  4 Al 2.31, 4 Si 2.31
C (0.7500, 0.7500, 0.2500)  4 Al 2.31, 4 Si 2.31
C (0.7500, 0.7500, 0.7500)  4 Al 2.31, 4 Si 2.31

---

(12)
Below is AlSiC after structural relaxation, with properties calculated at the GGA-PBE level.

The crystal system is monoclinic. The value obtained for the total DFT energy (no corrections) is -71.33 eV per cell. As for the magnetic moment: 0.00 μB per atom. As for the distance to the lowest polymorph of the same formula: 30.0 meV per atom. The value obtained for the raw formation energy is 0.56 eV per formula unit.

Unit cell a=8.8983 b=3.3321 c=6.4716 alpha=90.00 beta=124.39 gamma=90.00
Last column: nearest neighbours and their distance in Å.
Atoms (fractional coordinates):
Al (0.0000, 0.0000, 0.0000)  3 C 2.01-2.19
Al (0.2451, 0.0000, 0.5641)  2 C 2.03-2.09
Al (0.5000, 0.5000, 0.0000)  3 C 2.01-2.19
Al (0.7451, 0.5000, 0.5641)  2 C 2.03-2.09
Si (0.0475, 0.5000, 0.5742)  2 C 1.88-1.94
Si (0.2829, 0.5000, 0.1236)  3 C 1.96-1.97
Si (0.5475, 0.0000, 0.5742)  2 C 1.88-1.94
Si (0.7829, 0.0000, 0.1236)  3 C 1.96-1.97
C (0.0232, 0.5000, 0.8451)  2 Si 1.88-1.97, 3 Al 2.01-2.09
C (0.2934, 0.0000, 0.2921)  3 Si 1.94-1.96, 1 Al 2.03
C (0.5232, 0.0000, 0.8451)  2 Si 1.88-1.97, 3 Al 2.01-2.09
C (0.7934, 0.5000, 0.2921)  3 Si 1.94-1.96, 1 Al 2.03

---

Which of these has the lowest total DFT energy (no corrections)? Al2CSe